First-principles (PBE-GGA) data for crystalline Al4Fe2Rh at its relaxed geometry, as listed in Alexandria.

Density of states at the Fermi level ... 9.5 states/eV per cell
E_form ... -48 kJ/mol of atoms

Lattice parameters (Å, degrees): 5.5487 8.4014 4.1939 90.00 90.00 90.00
Space group Cmmm (No. 65)
Inequivalent atoms, fractional coordinates:
Al  0.2321  0.0000  0.0000 x4
Al  0.2500  0.2500  0.5000 x4
Fe  0.0000  0.2597  0.0000 x4
Rh  0.0000  0.5000  0.5000 x2